CePm2Hf: optimized geometry, PBE-GGA.

Structure (CIF):
```
data_CePm2Hf
_symmetry_space_group_name_H-M 'P 1'
_symmetry_Int_Tables_number 1
_symmetry_space_group_name_Hall 'P 1'
_cell_length_a 4.902
_cell_length_b 4.897
_cell_length_c 4.897
_cell_angle_alpha 90.00
_cell_angle_beta 90.00
_cell_angle_gamma 90.00
loop_
_atom_site_label
_atom_site_type_symbol
_atom_site_fract_x
_atom_site_fract_y
_atom_site_fract_z
Hf1 Hf 0.500 0.500 0.500
Ce1 Ce 0.500 0.000 0.000
Pm1 Pm 0.000 0.000 0.500
Pm2 Pm 0.000 0.500 0.000
```

The formation energy is 0.82 eV per formula unit. The value obtained for the spin magnetization is 0.435 μB/f.u. The distance to the lowest polymorph of the same formula comes out at 0.000 eV/atom.